Record 1
# MnCu2Au, relaxed, DFT GGA-PBE
data_MnCu2Au
_chemical_formula_sum 'Mn1 Cu2 Au1'
_symmetry_space_group_name_H-M 'P 1'
_symmetry_Int_Tables_number 1
_cell_length_a 5.2232
_cell_length_b 5.2232
_cell_length_c 2.7317
_cell_angle_alpha 76.36
_cell_angle_beta 76.36
_cell_angle_gamma 118.68
loop_
_symmetry_equiv_pos_as_xyz
'x,y,z'
loop_
_atom_site_label
_atom_site_type_symbol
_atom_site_fract_x
_atom_site_fract_y
_atom_site_fract_z
_atom_site_occupancy
Cu1 Cu 0.0000 0.0000 0.0000 1
Cu2 Cu 0.5000 0.5000 0.0000 1
Mn1 Mn 0.5000 0.0000 0.5000 1
Au1 Au 0.0000 0.5000 0.5000 1
# space group: C2/m


Record 2
# Mn7Cu6Au16, relaxed, DFT GGA-PBE
data_Mn7Cu6Au16
_chemical_formula_sum 'Mn7 Cu6 Au16'
_symmetry_space_group_name_H-M 'P 1'
_symmetry_Int_Tables_number 1
_cell_length_a 8.9867
_cell_length_b 8.9867
_cell_length_c 8.9867
_cell_angle_alpha 60.00
_cell_angle_beta 60.00
_cell_angle_gamma 60.00
loop_
_symmetry_equiv_pos_as_xyz
'x,y,z'
loop_
_atom_site_label
_atom_site_type_symbol
_atom_site_fract_x
_atom_site_fract_y
_atom_site_fract_z
_atom_site_occupancy
Au1 Au 0.9471 0.3510 0.3510 1
Au2 Au 0.1206 0.1206 0.1206 1
Au3 Au 0.0529 0.6490 0.6490 1
Au4 Au 0.8794 0.3617 0.8794 1
Au5 Au 0.3510 0.3510 0.9471 1
Au6 Au 0.6490 0.6490 0.6490 1
Au7 Au 0.6490 0.6490 0.0529 1
Au8 Au 0.1206 0.6383 0.1206 1
Au9 Au 0.3510 0.9471 0.3510 1
Au10 Au 0.8794 0.8794 0.3617 1
Au11 Au 0.6490 0.0529 0.6490 1
Au12 Au 0.1206 0.1206 0.6383 1
Au13 Au 0.3510 0.3510 0.3510 1
Au14 Au 0.8794 0.8794 0.8794 1
Au15 Au 0.6383 0.1206 0.1206 1
Au16 Au 0.3617 0.8794 0.8794 1
Mn1 Mn 0.0000 0.0000 0.0000 1
Mn2 Mn 0.5000 0.5000 0.0000 1
Mn3 Mn 0.0000 0.5000 0.5000 1
Mn4 Mn 0.5000 0.0000 0.5000 1
Mn5 Mn 0.5000 0.0000 0.0000 1
Mn6 Mn 0.0000 0.0000 0.5000 1
Mn7 Mn 0.0000 0.5000 0.0000 1
Cu1 Cu 0.6506 0.3494 0.6506 1
Cu2 Cu 0.3494 0.3494 0.6506 1
Cu3 Cu 0.3494 0.6506 0.3494 1
Cu4 Cu 0.6506 0.6506 0.3494 1
Cu5 Cu 0.6506 0.3494 0.3494 1
Cu6 Cu 0.3494 0.6506 0.6506 1
# space group: Fm-3m


Record 3
# MnCu2Au4, relaxed, DFT GGA-PBE
data_MnCu2Au4
_chemical_formula_sum 'Mn1 Cu2 Au4'
_symmetry_space_group_name_H-M 'P 1'
_symmetry_Int_Tables_number 1
_cell_length_a 6.9195
_cell_length_b 5.4187
_cell_length_c 5.4187
_cell_angle_alpha 65.98
_cell_angle_beta 50.32
_cell_angle_gamma 50.32
loop_
_symmetry_equiv_pos_as_xyz
'x,y,z'
loop_
_atom_site_label
_atom_site_type_symbol
_atom_site_fract_x
_atom_site_fract_y
_atom_site_fract_z
_atom_site_occupancy
Au1 Au 0.0001 0.5000 0.9999 1
Au2 Au 0.5001 0.9999 0.5000 1
Au3 Au 0.4999 0.5000 0.0001 1
Au4 Au 0.9999 0.0001 0.5000 1
Cu1 Cu 0.5000 0.5000 0.5000 1
Cu2 Cu 0.0000 0.5000 0.5000 1
Mn1 Mn 0.0000 0.0000 0.0000 1
# energy relative to the lowest polymorph listed for this composition: 0.0 meV/atom
# space group: I4/mmm


What did we get for formation energy? Answer: 0.6, 3.2, 0.2 eV per formula unit, in the order shown.
What did we get for VASP energy? Answer: -5.008, -4.758, -4.325 eV per atom, in the order shown.